# 1
The following is a GGA-PBE calculation of a relaxed structure of Li2Cd5AgRh2, from Alexandria.

a b c (Å): 4.1488 9.8162 9.8162
angles (deg): 90.00 90.00 90.00
With the nearest neighbours (Å) after each atom.
Atoms (fractional coordinates):
Li1 0.0000 0.6663 0.1663  3 Rh 2.87-2.90, 2 Cd 3.10
Li2 0.0000 0.3337 0.8337  3 Rh 2.87-2.90, 2 Cd 3.10
Li3 0.0000 0.1663 0.3337  3 Rh 2.87-2.90, 2 Cd 3.10
Li4 0.0000 0.8337 0.6663  3 Rh 2.87-2.90, 2 Cd 3.10
Cd1 0.5000 0.1970 0.0821  2 Rh 2.74, 2 Ag 2.95, 2 Cd 2.96
Cd2 0.5000 0.8030 0.9179  2 Rh 2.74, 2 Ag 2.95, 2 Cd 2.96
Cd3 0.5000 0.0821 0.8030  2 Rh 2.74, 2 Ag 2.95, 2 Cd 2.96
Cd4 0.5000 0.6970 0.4179  2 Rh 2.74, 2 Ag 2.95, 2 Cd 2.96
Cd5 0.5000 0.9179 0.1970  2 Rh 2.74, 2 Ag 2.95, 2 Cd 2.96
Cd6 0.5000 0.3030 0.5821  2 Rh 2.74, 2 Ag 2.95, 2 Cd 2.96
Cd7 0.5000 0.5821 0.6970  2 Rh 2.74, 2 Ag 2.95, 2 Cd 2.96
Cd8 0.5000 0.4179 0.3030  2 Rh 2.74, 2 Ag 2.95, 2 Cd 2.96
Cd9 0.5000 0.5000 0.0000  4 Rh 2.72
Cd10 0.5000 0.0000 0.5000  4 Rh 2.72
Ag1 0.0000 0.0000 0.0000  8 Cd 2.95
Ag2 0.0000 0.5000 0.5000  8 Cd 2.95
Rh1 0.0000 0.1269 0.6269  6 Cd 2.72-2.74, 3 Li 2.87-2.90
Rh2 0.0000 0.8731 0.3731  6 Cd 2.72-2.74, 3 Li 2.87-2.90
Rh3 0.0000 0.6269 0.8731  6 Cd 2.72-2.74, 3 Li 2.87-2.90
Rh4 0.0000 0.3731 0.1269  6 Cd 2.72-2.74, 3 Li 2.87-2.90

## Properties
Fermi-level density of states	7.49	states/eV per cell
final energy	-0.19778	Ry/atom
space-group type	P4/mbm, No. 127

=====

# 2
The following is a GGA-PBE calculation of a relaxed structure of Li2CdAg7Sb2, from Alexandria.

a b c (Å): 4.1892 4.1892 14.5222
angles (deg): 73.49 73.49 90.41
With the nearest neighbours (Å) after each atom.
Atoms (fractional coordinates):
Li1 0.8143 0.8143 0.6859  6 Ag 2.86-2.93, 4 Sb 2.95-2.97
Li2 0.1857 0.1857 0.3141  6 Ag 2.86-2.93, 4 Sb 2.95-2.97
Cd1 0.0000 0.0000 0.0000  12 Ag 2.95-2.99
Ag1 0.5000 0.5000 0.0000  4 Cd 2.95-2.97, 8 Ag 2.99
Ag2 0.2457 0.2457 0.4999  2 Li 2.86-2.87, 2 Sb 2.87-2.88, 4 Ag 2.90-3.00
Ag3 0.7543 0.7543 0.5001  2 Li 2.86-2.87, 2 Sb 2.87-2.88, 4 Ag 2.90-3.00
Ag4 0.8397 0.3397 0.1605  2 Li 2.92-2.93, 2 Sb 2.94, 6 Ag 2.95-2.99, 2 Cd 2.99
Ag5 0.3397 0.8397 0.1605  2 Li 2.92-2.93, 2 Sb 2.94, 6 Ag 2.95-2.99, 2 Cd 2.99
Ag6 0.6603 0.1603 0.8395  2 Li 2.92-2.93, 2 Sb 2.94, 6 Ag 2.95-2.99, 2 Cd 2.99
Ag7 0.1603 0.6603 0.8395  2 Li 2.92-2.93, 2 Sb 2.94, 6 Ag 2.95-2.99, 2 Cd 2.99
Sb1 0.6846 0.6846 0.3157  6 Ag 2.87-2.94, 4 Li 2.95-2.97
Sb2 0.3154 0.3154 0.6843  6 Ag 2.87-2.94, 4 Li 2.95-2.97

## Properties
Fermi-level density of states	4.17	states/eV per cell
final energy	-0.20844	Ry/atom
formation energy from raw total energies	-0.090	eV/atom
space-group type	C2/m, No. 12

=====

Repeat the first record exactly.
The following is a GGA-PBE calculation of a relaxed structure of Li2Cd5AgRh2, from Alexandria.

a b c (Å): 4.1488 9.8162 9.8162
angles (deg): 90.00 90.00 90.00
With the nearest neighbours (Å) after each atom.
Atoms (fractional coordinates):
Li1 0.0000 0.6663 0.1663  3 Rh 2.87-2.90, 2 Cd 3.10
Li2 0.0000 0.3337 0.8337  3 Rh 2.87-2.90, 2 Cd 3.10
Li3 0.0000 0.1663 0.3337  3 Rh 2.87-2.90, 2 Cd 3.10
Li4 0.0000 0.8337 0.6663  3 Rh 2.87-2.90, 2 Cd 3.10
Cd1 0.5000 0.1970 0.0821  2 Rh 2.74, 2 Ag 2.95, 2 Cd 2.96
Cd2 0.5000 0.8030 0.9179  2 Rh 2.74, 2 Ag 2.95, 2 Cd 2.96
Cd3 0.5000 0.0821 0.8030  2 Rh 2.74, 2 Ag 2.95, 2 Cd 2.96
Cd4 0.5000 0.6970 0.4179  2 Rh 2.74, 2 Ag 2.95, 2 Cd 2.96
Cd5 0.5000 0.9179 0.1970  2 Rh 2.74, 2 Ag 2.95, 2 Cd 2.96
Cd6 0.5000 0.3030 0.5821  2 Rh 2.74, 2 Ag 2.95, 2 Cd 2.96
Cd7 0.5000 0.5821 0.6970  2 Rh 2.74, 2 Ag 2.95, 2 Cd 2.96
Cd8 0.5000 0.4179 0.3030  2 Rh 2.74, 2 Ag 2.95, 2 Cd 2.96
Cd9 0.5000 0.5000 0.0000  4 Rh 2.72
Cd10 0.5000 0.0000 0.5000  4 Rh 2.72
Ag1 0.0000 0.0000 0.0000  8 Cd 2.95
Ag2 0.0000 0.5000 0.5000  8 Cd 2.95
Rh1 0.0000 0.1269 0.6269  6 Cd 2.72-2.74, 3 Li 2.87-2.90
Rh2 0.0000 0.8731 0.3731  6 Cd 2.72-2.74, 3 Li 2.87-2.90
Rh3 0.0000 0.6269 0.8731  6 Cd 2.72-2.74, 3 Li 2.87-2.90
Rh4 0.0000 0.3731 0.1269  6 Cd 2.72-2.74, 3 Li 2.87-2.90

## Properties
Fermi-level density of states	7.49	states/eV per cell
final energy	-0.19778	Ry/atom
space-group type	P4/mbm, No. 127